[1]
DFT (GGA-PBE) results for an optimized crystal structure of RbZrCrPd2.

```
RbZrCrPd2
1.0
-4.103 -1.945 -1.365
-0.224 -2.466 4.186
-2.367 3.595 1.991
Pd Zr Rb Cr
2 1 1 1
Direct
0.500 0.000 0.000
0.000 0.000 0.500
0.500 0.500 0.500
0.000 0.500 0.000
0.000 0.000 0.000
```

Results
space-group type: P4/mmm (123)



[2]
DFT (GGA-PBE) results for an optimized crystal structure of CrRe2Pd.

```
CrRe2Pd
1.0
-2.398 -1.502 -2.408
1.005 -3.397 1.118
-7.355 -2.274 5.878
Cr Re Pd
2 4 2
Direct
0.500 0.500 0.000
0.250 0.750 0.500
0.375 0.403 0.750
0.875 0.847 0.750
0.153 0.625 0.250
0.597 0.125 0.250
0.750 0.250 0.500
0.000 0.000 0.000
```

Results
ΔE to the lowest computed polymorph: 0.548 eV/atom
space-group type: I-42d (122)



[3]
DFT (GGA-PBE) results for an optimized crystal structure of CrRe2Pd.

```
CrRe2Pd
1.0
3.917 0.000 0.000
0.000 3.809 0.000
0.000 0.000 3.809
Re Pd Cr
2 1 1
Direct
0.000 0.500 0.000
0.000 0.000 0.500
0.500 0.500 0.500
0.500 0.000 0.000
```

Results
ΔE to the lowest computed polymorph: 0.000 eV/atom
space-group type: P4/mmm (123)



[4]
DFT (GGA-PBE) results for an optimized crystal structure of CrRe3Pd.

```
CrRe3Pd
1.0
4.418 0.000 0.000
0.000 4.418 0.000
0.000 0.000 4.418
Pd Re Cr
1 3 1
Direct
0.500 0.500 0.500
0.000 0.500 0.000
0.000 0.000 0.500
0.500 0.000 0.000
0.000 0.000 0.000
```

Results
ΔE to the lowest computed polymorph: 0.000 eV/atom
space-group type: Pm-3m (221)



[5]
DFT (GGA-PBE) results for an optimized crystal structure of CrRe2Pd.

```
CrRe2Pd
1.0
-0.153 -1.676 3.989
-0.191 2.619 3.443
-3.646 0.263 2.320
Re Cr Pd
2 1 1
Direct
0.250 0.250 0.250
0.750 0.750 0.750
0.000 0.000 0.000
0.500 0.500 0.500
```

Results
ΔE to the lowest computed polymorph: 0.311 eV/atom
space-group type: Fm-3m (225)



[6]
DFT (GGA-PBE) results for an optimized crystal structure of Cr4RePd.

```
Cr4RePd
1.0
4.760 0.000 0.000
2.380 4.122 0.000
2.380 1.374 3.886
Cr Pd Re
4 1 1
Direct
0.126 0.625 0.625
0.625 0.625 0.625
0.625 0.126 0.625
0.625 0.625 0.126
0.000 0.000 0.000
0.250 0.250 0.250
```

Results
space-group type: F-43m (216)



[7]
DFT (GGA-PBE) results for an optimized crystal structure of CrRePd.

```
CrRePd
1.0
2.719 0.000 0.000
0.000 4.341 0.000
-1.360 0.000 7.148
Pd Cr Re
2 2 2
Direct
0.778 0.750 0.556
0.222 0.250 0.444
0.891 0.250 0.783
0.109 0.750 0.217
0.448 0.750 0.895
0.552 0.250 0.105
```

Results
space-group type: Cmcm (63)



[8]
DFT (GGA-PBE) results for an optimized crystal structure of CrRePd3.

```
CrRePd3
1.0
4.457 0.000 0.000
0.000 4.457 0.000
0.000 0.000 4.457
Pd Re Cr
3 1 1
Direct
0.000 0.500 0.000
0.500 0.000 0.000
0.000 0.000 0.500
0.500 0.500 0.500
0.000 0.000 0.000
```

Results
space-group type: Pm-3m (221)



M_tot for the records above, in order: 0.761 5.411 0.683 0.000 0.000 0.000 1.291 0.308 Bohr magnetons per cell
Electronic total energy for the records above, in order: -4.584 -9.249 -9.797 -8.901 -9.487 -9.300 -8.982 -5.903 eV per atom